Compound: Cs2TaS4
Source: the Alexandria database
Functional: PBE-GGA
Structure: optimized geometry

Output
Energy relative to the lowest polymorph listed for this composition = 4.8 kJ/mol of atoms
Crystal system = tetragonal

a b c (Å): 4.9733 4.9733 9.4423
angles (deg): 74.73 74.73 90.00
With the nearest neighbours (Å) after each atom.
Element x y z (fractional)
1 Cs 0.3499 0.3499 0.3002  9 S 3.52-3.74
2 Cs 0.6501 0.6501 0.6998  9 S 3.52-3.74
3 Ta 0.0000 0.0000 0.0000  6 S 2.39-2.49
4 S 0.5000 0.0000 0.0000  2 Ta 2.49
5 S 0.1364 0.1364 0.7272  1 Ta 2.39
6 S 0.0000 0.5000 0.0000  2 Ta 2.49
7 S 0.8636 0.8636 0.2728  1 Ta 2.39

Compound: Cs2TaS4
Source: the Alexandria database
Functional: PBE-GGA
Structure: optimized geometry

Output
Energy relative to the lowest polymorph listed for this composition = 2.0 kJ/mol of atoms
Crystal system = orthorhombic

a b c (Å): 8.2127 8.2127 8.2750
angles (deg): 119.91 119.91 89.72
With the nearest neighbours (Å) after each atom.
Element x y z (fractional)
1 S 0.7260 0.9538 0.0000  1 Ta 2.28
2 S 0.9534 0.7286 0.6820  1 Ta 2.28
3 S 0.2714 0.0466 0.3180  1 Ta 2.28
4 S 0.0462 0.2740 0.0000  1 Ta 2.28
5 Cs 0.2516 0.7484 0.5000  4 S 3.49-3.50
6 Cs 0.7516 0.2484 0.5000  4 S 3.49-3.50
7 Ta 0.9996 0.0004 0.0000  4 S 2.28

For each record above, in turn, the calculated spin magnetization values are 1.00 1.09 μB per formula unit.
For each record above, in turn, the calculated N(E_F) values are 4.655 9.584 states/eV per cell.
For each record above, in turn, the calculated calculated total energy values are -5.236 -5.264 eV/atom.